NbBIN2 (GGA-PBE, relaxed); symmetry = P4/mmm, No. 123; total energy = -5.83 eV/atom; spin magnetization = 0.00 μB/cell; calculated volume = 19.14 A^3/atom; raw formation energy = 1.16 eV/atom
1.0
-3.2983 -1.5289 -1.7062
-1.0959 -1.5736 3.5286
-2.9731 4.9706 1.2933
N B Nb I
2 1 1 1
Direct
0.5000 0.0000 0.0000
0.0000 0.5000 0.0000
0.5000 0.5000 0.5000
0.0000 0.0000 0.0000
0.0000 0.0000 0.5000